# 1
Here is crystalline CaNd2Tl4 at its relaxed geometry from Alexandria via LeMat-Bulk. Energies are from PBE.

raw total energy	-2.879	eV per atom
space group	I4/mmm
magnetic moment	0.0000	μB per atom
mass density	7.150	g/cm³
E above lowest polymorph	367.5	meV/atom
energy relative to the elements	121	meV/atom

a b c (Å): 5.7554 5.7554 9.0077
angles (deg): 108.63 108.63 90.00
Fractional positions:
Ca (0.0000, 0.0000, 0.0000)
Nd (0.6041, 0.6041, 0.2081)
Nd (0.3959, 0.3959, 0.7919)
Tl (0.8052, 0.8052, 0.6103)
Tl (0.1948, 0.1948, 0.3897)
Tl (0.0000, 0.5000, 0.0000)
Tl (0.5000, 0.0000, 0.0000)

# 2
Here is crystalline CaNd2TmTl4 at its relaxed geometry from Alexandria via LeMat-Bulk. Energies are from PBE.

raw total energy	-3.554	eV per atom
space group	R-3m
magnetic moment	0.0000	μB per atom
mass density	9.455	g/cm³
energy relative to the elements	-370	meV/atom

a b c (Å): 5.4604 5.4604 9.4836
angles (deg): 73.27 73.27 60.00
Fractional positions:
Ca (0.0000, 0.0000, 0.0000)
Nd (0.7463, 0.7463, 0.7611)
Nd (0.2537, 0.2537, 0.2389)
Tm (0.5000, 0.5000, 0.5000)
Tl (0.3786, 0.3786, 0.8643)
Tl (0.8720, 0.8720, 0.3840)
Tl (0.1280, 0.1280, 0.6160)
Tl (0.6214, 0.6214, 0.1357)

# 3
Here is crystalline CaNd2YTl4 at its relaxed geometry from Alexandria via LeMat-Bulk. Energies are from PBE.

raw total energy	-3.826	eV per atom
space group	R-3m
magnetic moment	0.0000	μB per atom
mass density	8.805	g/cm³
energy relative to the elements	-393	meV/atom

a b c (Å): 5.4725 5.4725 9.5198
angles (deg): 73.30 73.30 60.00
Fractional positions:
Ca (0.0000, 0.0000, 0.0000)
Nd (0.7463, 0.7463, 0.7611)
Nd (0.2537, 0.2537, 0.2389)
Y (0.5000, 0.5000, 0.5000)
Tl (0.3777, 0.3777, 0.8669)
Tl (0.8728, 0.8728, 0.3815)
Tl (0.1272, 0.1272, 0.6185)
Tl (0.6223, 0.6223, 0.1331)